# RbSnSeN2

A geometry-optimized RbSnSeN2 structure (PBE, Alexandria via LeMat-Bulk).

abc: 4.988 4.988 6.573
angles: 90.00 90.00 90.00
Space group P4/mmm (No. 123)
Asymmetric unit:
Rb  0.000  0.000  0.000 (multiplicity 1)
Sn  0.500  0.500  0.500 (multiplicity 1)
Se  0.000  0.000  0.500 (multiplicity 1)
N  0.000  0.500  0.000 (multiplicity 2)

magnetic moment: 5.0 Bohr magnetons per cell
E above lowest polymorph: 5.65 eV/f.u.
uncorrected formation energy: 1.959 eV per atom

---

# Tl2NiBr5

A geometry-optimized Tl2NiBr5 structure (PBE, Alexandria via LeMat-Bulk).

abc: 7.596 7.596 9.304
angles: 90.00 90.00 90.00
Space group I4mm (No. 107)
Asymmetric unit:
Tl  0.000  0.500  0.000 (multiplicity 4)
Ni  0.000  0.000  0.233 (multiplicity 2)
Br  0.000  0.000  0.970 (multiplicity 2)
Br  0.220  0.220  0.265 (multiplicity 8)

magnetic moment: 1.9 Bohr magnetons per cell
uncorrected formation energy: -0.550 eV per atom

---

# Sr2TlV

A geometry-optimized Sr2TlV structure (PBE, Alexandria via LeMat-Bulk).

abc: 8.028 8.028 8.028
angles: 90.00 90.00 90.00
Space group Fm-3m (No. 225)
Asymmetric unit:
Sr  0.250  0.250  0.250 (multiplicity 8)
Tl  0.000  0.000  0.000 (multiplicity 4)
V  0.000  0.000  0.500 (multiplicity 4)

magnetic moment: 15.2 Bohr magnetons per cell
E above lowest polymorph: 0.00 eV/f.u.

---

# Pm2Ho3ThSe6

A geometry-optimized Pm2Ho3ThSe6 structure (PBE, Alexandria via LeMat-Bulk).

abc: 18.149 4.092 8.337
angles: 90.00 105.19 90.00
Space group C2/m (No. 12)
Asymmetric unit:
Pm  0.163  0.000  0.327 (multiplicity 4)
Ho  0.000  0.500  0.500 (multiplicity 2)
Ho  0.166  0.000  0.834 (multiplicity 4)
Th  0.000  0.500  0.000 (multiplicity 2)
Se  0.004  0.000  0.740 (multiplicity 4)
Se  0.165  0.500  0.590 (multiplicity 4)
Se  0.171  0.500  0.075 (multiplicity 4)

magnetic moment: 0.0 Bohr magnetons per cell
uncorrected formation energy: -1.724 eV per atom

---

# LiTlCo3

A geometry-optimized LiTlCo3 structure (PBE, Alexandria via LeMat-Bulk).

abc: 4.886 4.886 4.886
angles: 90.00 90.00 90.00
Space group Pm-3m (No. 221)
Asymmetric unit:
Li  0.000  0.000  0.000 (multiplicity 1)
Tl  0.500  0.500  0.500 (multiplicity 1)
Co  0.000  0.500  0.500 (multiplicity 3)

magnetic moment: 5.2 Bohr magnetons per cell
E above lowest polymorph: 2.97 eV/f.u.

---

# Li2AlIn

A geometry-optimized Li2AlIn structure (PBE, Alexandria via LeMat-Bulk).

abc: 3.041 4.620 5.120
angles: 90.00 90.00 90.00
Space group Pmm2 (No. 25)
Asymmetric unit:
Li  0.000  0.000  0.000 (multiplicity 1)
Li  0.000  0.500  0.333 (multiplicity 1)
Al  0.500  0.500  0.845 (multiplicity 1)
In  0.500  0.000  0.501 (multiplicity 1)

magnetic moment: 0.0 Bohr magnetons per cell
energy: -2.778 eV/atom

---

What is the magnetic moment in the third record? 15.2 Bohr magnetons per cell

---

What is the formula in the third record? Sr2TlV

---

What is the formula in the third record? Sr2TlV